Compound: ZnFe3F
Source: the Alexandria database
Functional: PBE with a Hubbard U
Structure: optimized geometry

ΔE to the lowest computed polymorph ... 0.452 eV/atom
Calculated total energy ... -15.5 eV/cell
Magnetization ... 10.25 μB/f.u.

Cell: 4.705 4.705 4.705 Å, 90.00 90.00 90.00°
Site moments in Bohr magnetons follow the coordinates.
Positions (direct):
Zn: 0.000 0.000 0.000  -0.07
Fe: 0.000 0.500 0.000  3.34
Fe: 0.000 0.000 0.500  3.16
Fe: 0.500 0.000 0.000  3.44
F: 0.500 0.500 0.500  0.08